Model A:
Ag2Te2S5 (PBE-GGA, relaxed); N(E_F) = 2.159 states/eV/cell; volume = 31.18 Å³ per atom
1.0
9.6626 -2.3607 0.0000
9.6626 2.3607 0.0000
-0.4319 0.0000 6.1509
Ag Te S
2 2 5
Direct
0.1954 0.1954 0.0762
0.8046 0.8046 0.9238
0.3706 0.3706 0.4380
0.6294 0.6294 0.5620
0.1732 0.1732 0.4813
0.3373 0.3373 0.0546
0.5000 0.5000 0.5000
0.6627 0.6627 0.9454
0.8268 0.8268 0.5187

---

Model B:
Ag2Te2S5 (PBE-GGA, relaxed); volume = 26.53 Å³ per atom
1.0
-8.5715 3.3476 4.1612
8.5715 -3.3476 4.1612
8.5715 3.3476 -4.1612
Ag Te S
4 4 10
Direct
0.0698 0.1335 0.2033
0.0698 0.3665 0.4363
0.9302 0.6335 0.5637
0.9302 0.8665 0.7967
0.4856 0.7927 0.1929
0.5185 0.0185 0.5000
0.5185 0.5185 0.0000
0.5998 0.2927 0.8071
0.1480 0.1378 0.5102
0.1944 0.5517 0.9240
0.1944 0.7705 0.1427
0.4695 0.2537 0.3285
0.4695 0.6410 0.7158
0.6278 0.0517 0.8573
0.6278 0.2705 0.0760
0.6276 0.6378 0.4898
0.9252 0.1410 0.6715
0.9252 0.7537 0.2842

---

The structure with the most favorable energy is model B; the runner-up is 112 meV per atom above it.

---

Model A:
Ti3AgS (PBE-GGA, relaxed); N(E_F) = 6.827 states/eV/cell; volume = 18.11 Å³ per atom
1.0
4.4902 0.0000 0.0000
0.0000 4.4902 0.0000
0.0000 0.0000 4.4902
Ti Ag S
3 1 1
Direct
0.0000 0.0000 0.5000
0.0000 0.5000 0.0000
0.5000 0.0000 0.0000
0.5000 0.5000 0.5000
0.0000 0.0000 0.0000

---

Model B:
Ti3AgS (PBE-GGA, relaxed); N(E_F) = 3.884 states/eV/cell; volume = 23.39 Å³ per atom
1.0
4.8902 0.0000 0.0000
0.0000 4.8902 0.0000
0.0000 0.0000 4.8902
Ti Ag S
3 1 1
Direct
0.0000 0.0000 0.5000
0.0000 0.5000 0.0000
0.5000 0.0000 0.0000
0.0000 0.0000 0.0000
0.5000 0.5000 0.5000

---

The structure with the most favorable energy is model A; the runner-up is 1324 meV per atom above it.